(1)
CuNiH2: optimized geometry, GGA-PBE.

```
CuNiH2
1.0
-1.928 1.928 4.009
1.928 -1.928 4.009
1.928 1.928 -4.009
Cu Ni H
2 2 4
Direct
0.000 0.000 0.000 Cu
0.750 0.250 0.500 Cu
0.250 0.750 0.500 Ni
0.500 0.500 0.000 Ni
0.152 0.625 0.027 H
0.375 0.402 0.527 H
0.598 0.125 0.973 H
0.875 0.848 0.473 H
```

Properties
The symmetry is I-42d (122). The energy above the lowest structure with this stoichiometry comes out at 0.024 eV per atom.

---

(2)
CuNiH2: optimized geometry, GGA-PBE.

```
CuNiH2
1.0
-1.851 1.851 4.016
1.851 -1.851 4.016
1.851 1.851 -4.016
Cu Ni H
2 2 4
Direct
0.375 0.625 0.750 Cu
0.625 0.375 0.250 Cu
0.125 0.875 0.250 Ni
0.875 0.125 0.750 Ni
0.088 0.338 0.750 H
0.338 0.088 0.250 H
0.662 0.912 0.750 H
0.912 0.662 0.250 H
```

Properties
The symmetry is I4_1/amd (141). The energy above the lowest structure with this stoichiometry comes out at 0.000 eV per atom.

---

(3)
CuNiH2: optimized geometry, GGA-PBE.

```
CuNiH2
1.0
1.350 0.779 4.727
-1.350 0.779 4.727
0.000 -1.558 4.727
Cu Ni H
1 1 2
Direct
0.000 0.000 0.000 Cu
0.500 0.500 0.500 Ni
0.117 0.117 0.117 H
0.883 0.883 0.883 H
```

Properties
The symmetry is R-3m (166). The energy above the lowest structure with this stoichiometry comes out at 0.033 eV per atom.

---

(4)
Cu12Ni3H5: optimized geometry, GGA-PBE.

```
Cu12Ni3H5
1.0
-5.906 5.906 5.906
5.906 -5.906 5.906
5.906 5.906 -5.906
Cu Ni H
48 12 20
Direct
0.008 0.195 0.102 Cu
0.008 0.313 0.907 Cu
0.093 0.602 0.407 Cu
0.093 0.695 0.687 Cu
0.093 0.898 0.407 Cu
0.093 0.992 0.687 Cu
0.102 0.008 0.195 Cu
0.102 0.593 0.907 Cu
0.187 0.195 0.593 Cu
0.187 0.492 0.593 Cu
0.195 0.102 0.008 Cu
0.195 0.593 0.187 Cu
0.305 0.313 0.907 Cu
0.305 0.492 0.398 Cu
0.313 0.907 0.008 Cu
0.313 0.907 0.305 Cu
0.398 0.305 0.492 Cu
0.398 0.593 0.907 Cu
0.407 0.093 0.602 Cu
0.407 0.093 0.898 Cu
0.407 0.813 0.508 Cu
0.407 0.813 0.805 Cu
0.492 0.398 0.305 Cu
0.492 0.593 0.187 Cu
0.508 0.407 0.813 Cu
0.508 0.602 0.695 Cu
0.593 0.187 0.195 Cu
0.593 0.187 0.492 Cu
0.593 0.907 0.102 Cu
0.593 0.907 0.398 Cu
0.602 0.407 0.093 Cu
0.602 0.695 0.508 Cu
0.687 0.093 0.695 Cu
0.687 0.093 0.992 Cu
0.695 0.508 0.602 Cu
0.695 0.687 0.093 Cu
0.805 0.407 0.813 Cu
0.805 0.898 0.992 Cu
0.813 0.508 0.407 Cu
0.813 0.805 0.407 Cu
0.898 0.407 0.093 Cu
0.898 0.992 0.805 Cu
0.907 0.008 0.313 Cu
0.907 0.102 0.593 Cu
0.907 0.305 0.313 Cu
0.907 0.398 0.593 Cu
0.992 0.687 0.093 Cu
0.992 0.805 0.898 Cu
0.125 0.250 0.375 Ni
0.125 0.375 0.750 Ni
0.250 0.375 0.125 Ni
0.250 0.875 0.625 Ni
0.375 0.125 0.250 Ni
0.375 0.750 0.125 Ni
0.625 0.250 0.875 Ni
0.625 0.875 0.750 Ni
0.750 0.125 0.375 Ni
0.750 0.625 0.875 Ni
0.875 0.625 0.250 Ni
0.875 0.750 0.625 Ni
0.000 0.000 0.000 H
0.000 0.000 0.500 H
0.000 0.500 0.000 H
0.000 0.500 0.500 H
0.125 0.750 0.875 H
0.125 0.875 0.250 H
0.250 0.125 0.875 H
0.250 0.625 0.375 H
0.375 0.250 0.625 H
0.375 0.625 0.750 H
0.500 0.000 0.000 H
0.500 0.000 0.500 H
0.500 0.500 0.000 H
0.500 0.500 0.500 H
0.625 0.375 0.250 H
0.625 0.750 0.375 H
0.750 0.375 0.625 H
0.750 0.875 0.125 H
0.875 0.125 0.750 H
0.875 0.250 0.125 H
```

Properties
The symmetry is Ia-3d (230). The calculated total energy comes out at -309.12 eV/cell.